A geometry-optimized Ho3ThRh8 structure. Source: the Alexandria database, functional PBE.

## Properties
Calculated volume, Å³/cell: 217.0
E_tot, eV/f.u.: -89.05
Space group: R3m (160)

Cell lengths 5.355, 5.355, 9.268 Å; angles 73.21, 73.21, 60.00 degrees
Positions (direct):
Rh 0.437 0.937 0.689
Rh 0.187 0.187 0.439
Rh 0.937 0.437 0.689
Rh 0.439 0.439 0.186
Rh 0.439 0.937 0.186
Rh 0.937 0.439 0.186
Rh 0.688 0.688 0.937
Rh 0.937 0.937 0.689
Th 0.876 0.876 0.372
Ho 0.498 0.498 0.507
Ho 0.374 0.374 0.878
Ho 0.003 0.003 0.992